Record 1
Computed, not measured: an optimized crystal structure of CrWCl at the GGA-PBE level of DFT.

Properties
ρ ... 10421 kg/m³
Energy relative to the elements, uncorrected ... 2.4 eV per formula unit
Total magnetization ... 0.00 μB per formula unit
Energy above the most stable polymorph in this dataset ... 488.1 meV/atom
Symmetry ... P3m1 (156)

Cell lengths 4.196, 4.196, 2.836 Å; angles 90.00, 90.00, 120.00 degrees
Atoms (fractional coordinates):
Cr (0.000, 0.000, 0.000)
W (0.333, 0.667, 0.622)
Cl (0.667, 0.333, 0.828)

Record 2
Computed, not measured: an optimized crystal structure of CrWCl at the GGA-PBE level of DFT.

Properties
ρ ... 9133 kg/m³
Energy relative to the elements, uncorrected ... 0.9 eV per formula unit
Total magnetization ... 0.00 μB per formula unit
Energy above the most stable polymorph in this dataset ... 0.0 meV/atom
Symmetry ... P3m1 (156)

Cell lengths 3.111, 3.111, 5.884 Å; angles 90.00, 90.00, 120.00 degrees
Atoms (fractional coordinates):
Cr (0.000, 0.000, 0.000)
W (0.333, 0.667, 0.261)
Cl (0.667, 0.333, 0.667)